No. 1
This record from Alexandria describes a crystal of CaTaTl2 relaxed with PBEsol. The functional is SCAN.

Cell: 5.1777 5.1777 5.1777 Å, 60.00 60.00 60.00°
Site moments in Bohr magnetons follow the coordinates.
Fractional coordinates of all 4 atoms:
Ca  0.5000  0.5000  0.5000  0.17
Tl  0.7500  0.7500  0.7500  0.02
Tl  0.0000  0.0000  0.0000  0.02
Ta  0.2500  0.2500  0.2500  1.95

Output
As for the space group: F-43m (216). As for the magnetization: 3.4 μB per cell. The value obtained for the energy relative to the elements is 754 meV/atom. The value obtained for the calculated volume is 24.54 A^3/atom.

=====

No. 2
This record from Alexandria describes a crystal of YMg3 relaxed with PBEsol. The functional is SCAN.

Cell: 3.2818 5.6545 5.7530 Å, 101.75 90.00 106.87°
Site moments in Bohr magnetons follow the coordinates.
Fractional coordinates of all 4 atoms:
Mg  0.7583  0.5165  0.2628  0.01
Mg  0.2417  0.4835  0.7372  0.01
Mg  0.5000  0.0000  0.5000  0.00
Y  0.0000  0.0000  0.0000  0.12

Output
As for the space group: C2/m (12). As for the magnetization: 0.2 μB per cell. The value obtained for the energy relative to the elements is -6 meV/atom. The value obtained for the calculated volume is 24.96 A^3/atom.

=====

No. 3
This record from Alexandria describes a crystal of FeOs3 relaxed with PBEsol. The functional is SCAN.

Cell: 2.6903 4.2013 4.6376 Å, 90.00 90.00 90.00°
Fractional coordinates of all 4 atoms:
Os  0.5000  0.5000  0.8444
Fe  0.0000  0.0000  0.9939
Os  0.5000  0.0000  0.5056
Os  0.0000  0.5000  0.3229

Output
As for the space group: Pmm2 (25). As for the magnetization: 0.0 μB per cell. The value obtained for the energy relative to the elements is 129 meV/atom. The value obtained for the calculated volume is 13.10 A^3/atom.